# 1
# MgV2Ni2, optimized geometry, DFT PBE-GGA
data_MgV2Ni2
_cell_length_a 3.687
_cell_length_b 3.687
_cell_length_c 10.732
_cell_angle_alpha 90.00
_cell_angle_beta 90.00
_cell_angle_gamma 90.00
_space_group_name_H-M_alt 'I 4/m m m'
_space_group_IT_number 139
_space_group_name_Hall '-I 4 2'
loop_
_atom_site_label
_atom_site_fract_x
_atom_site_fract_y
_atom_site_fract_z
_atom_site_occupancy
Mg1 0.000 0.000 0.000 1
V1 0.000 0.500 0.250 1
Ni1 0.000 0.000 0.395 1
# DOS at the Fermi energy ... 12.44 states/eV/cell
# Formation enthalpy at 0 K ... 93 meV/atom
# Spin magnetization ... 0.00 μB/atom

# 2
# PmSmSn, optimized geometry, DFT PBE-GGA
data_PmSmSn
_cell_length_a 4.916
_cell_length_b 6.705
_cell_length_c 11.296
_cell_angle_alpha 90.00
_cell_angle_beta 90.00
_cell_angle_gamma 90.00
_space_group_name_H-M_alt 'I m m m'
_space_group_IT_number 71
_space_group_name_Hall '-I 2 2'
loop_
_atom_site_label
_atom_site_fract_x
_atom_site_fract_y
_atom_site_fract_z
_atom_site_occupancy
Pm1 0.000 0.236 0.000 1
Sm1 0.000 0.000 0.321 1
Sn1 0.000 0.500 0.347 1
# DOS at the Fermi energy ... 8.19 states/eV/cell
# Formation enthalpy at 0 K ... -511 meV/atom
# Spin magnetization ... 0.00 μB/atom

# 3
# Cd5Pt3, optimized geometry, DFT PBE-GGA
data_Cd5Pt3
_cell_length_a 8.121
_cell_length_b 8.439
_cell_length_c 4.280
_cell_angle_alpha 90.00
_cell_angle_beta 90.00
_cell_angle_gamma 90.00
_space_group_name_H-M_alt 'C m m m'
_space_group_IT_number 65
_space_group_name_Hall '-C 2 2'
loop_
_atom_site_label
_atom_site_fract_x
_atom_site_fract_y
_atom_site_fract_z
_atom_site_occupancy
Cd1 0.000 0.000 0.000 1
Cd2 0.229 0.500 0.500 1
Cd3 0.250 0.250 0.000 1
Pt1 0.000 0.236 0.500 1
Pt2 0.000 0.500 0.000 1
# DOS at the Fermi energy ... 6.66 states/eV/cell
# Formation enthalpy at 0 K ... -242 meV/atom
# Spin magnetization ... 0.00 μB/atom

# 4
# LiTmCdGa, optimized geometry, DFT PBE-GGA
data_LiTmCdGa
_cell_length_a 6.911
_cell_length_b 6.911
_cell_length_c 6.911
_cell_angle_alpha 90.00
_cell_angle_beta 90.00
_cell_angle_gamma 90.00
_space_group_name_H-M_alt 'F -4 3 m'
_space_group_IT_number 216
_space_group_name_Hall 'F -4 2 3'
loop_
_atom_site_label
_atom_site_fract_x
_atom_site_fract_y
_atom_site_fract_z
_atom_site_occupancy
Li1 0.000 0.000 0.000 1
Tm1 0.000 0.000 0.500 1
Cd1 0.250 0.250 0.250 1
Ga1 0.250 0.250 0.750 1
# DOS at the Fermi energy ... 8.40 states/eV/cell
# Formation enthalpy at 0 K ... -352 meV/atom
# Spin magnetization ... 0.00 μB/atom

# 5
# InSnIN2, optimized geometry, DFT PBE-GGA
data_InSnIN2
_cell_length_a 4.628
_cell_length_b 4.628
_cell_length_c 6.565
_cell_angle_alpha 90.00
_cell_angle_beta 90.00
_cell_angle_gamma 90.00
_space_group_name_H-M_alt 'P 4/m m m'
_space_group_IT_number 123
_space_group_name_Hall '-P 4 2'
loop_
_atom_site_label
_atom_site_fract_x
_atom_site_fract_y
_atom_site_fract_z
_atom_site_occupancy
In1 0.000 0.000 0.000 1
Sn1 0.500 0.500 0.500 1
I1 0.000 0.000 0.500 1
N1 0.000 0.500 0.000 1
# DOS at the Fermi energy ... 3.23 states/eV/cell
# Formation energy (no corrections) ... 1.406 eV per atom
# Spin magnetization ... 0.42 μB/atom

# 6
# RbSrCl2, optimized geometry, DFT PBE-GGA
data_RbSrCl2
_cell_length_a 4.6610
_cell_length_b 4.6610
_cell_length_c 28.9580
_cell_angle_alpha 90.00
_cell_angle_beta 90.00
_cell_angle_gamma 120.00
_space_group_name_H-M_alt 'R -3 m'
_space_group_IT_number 166
_space_group_name_Hall '-R 3 2"'
loop_
_atom_site_label
_atom_site_fract_x
_atom_site_fract_y
_atom_site_fract_z
_atom_site_occupancy
Rb1 0.0000 0.0000 0.0000 1
Sr1 0.0000 0.0000 0.5000 1
Cl1 0.0000 0.0000 0.1220 1
# DOS at the Fermi energy ... 3.51 states/eV/cell
# Formation energy (no corrections) ... -1.795 eV per atom
# Spin magnetization ... 0.00 μB/atom